Record 1
The following is a PBE-GGA calculation of crystalline InH3I at its relaxed geometry, from Alexandria via LeMat-Bulk.

extended XYZ file:
```
10
Lattice="4.313 0.000 0.000 0.073 5.163 0.000 0.257 1.935 10.410" Properties=species:S:1:pos:R:3 pbc="T T T"
In 1.091 2.464 1.518
In 3.552 4.633 8.892
H 0.381 5.884 5.425
H 1.087 0.785 1.852
H 1.107 3.527 0.132
H 3.536 3.570 10.278
H 3.556 6.312 8.558
H 4.262 1.213 4.985
I 1.399 3.498 7.292
I 3.244 3.599 3.118
```

energy above the lowest structure with this stoichiometry = 0.000 eV per atom
space group = P-1, No. 2

Record 2
The following is a PBE-GGA calculation of crystalline TiBeNbFe at its relaxed geometry, from Alexandria via LeMat-Bulk.

extended XYZ file:
```
16
Lattice="6.025 0.000 0.000 0.000 6.025 0.000 0.000 0.000 6.025" Properties=species:S:1:pos:R:3 pbc="T T T"
Ti 0.000 0.000 0.000
Ti 0.000 3.013 3.013
Ti 3.013 0.000 3.013
Ti 3.013 3.013 0.000
Be 1.506 1.506 4.519
Be 1.506 4.519 1.506
Be 4.519 1.506 1.506
Be 4.519 4.519 4.519
Nb 0.000 0.000 3.013
Nb 0.000 3.013 0.000
Nb 3.013 0.000 0.000
Nb 3.013 3.013 3.013
Fe 1.506 1.506 1.506
Fe 1.506 4.519 4.519
Fe 4.519 1.506 4.519
Fe 4.519 4.519 1.506
```

DFT formation energy = -0.0637 eV per atom
space group = F-43m, No. 216

Record 3
The following is a PBE-GGA calculation of crystalline TbTl2Cu2Se4 at its relaxed geometry, from Alexandria via LeMat-Bulk.

extended XYZ file:
```
9
Lattice="7.471 -2.002 0.000 7.471 2.002 0.000 -2.512 0.000 7.645" Properties=species:S:1:pos:R:3 pbc="T T T"
Tb 0.000 0.000 0.000
Tl 0.574 0.000 4.277
Tl 11.855 0.000 3.368
Cu 4.713 0.000 0.075
Cu 7.717 0.000 7.570
Se 2.573 0.000 1.368
Se 6.490 0.000 1.807
Se 5.939 0.000 5.838
Se 9.857 0.000 6.277
```

ΔE_f (raw) = -0.7435 eV per atom
space group = C2/m, No. 12

For reference, total energy by record: -2.872, -7.602, -4.243 eV per atom.